First-principles (PBE+U) data for crystalline Na3HoMo2O6 at its relaxed geometry, as listed in Alexandria via LeMat-Bulk.

```
12
Lattice="5.703 -0.002 0.005 -2.852 4.939 0.005 -0.951 -1.646 5.521" Properties=species:S:1:pos:R:3 pbc="T T T"
Na -1.859 3.268 2.765
Na 0.950 1.645 2.765
Na 3.760 0.023 2.765
Mo 2.850 1.646 0.005
O 2.879 1.600 4.366
O 0.027 0.047 4.353
O -0.978 1.690 1.164
Mo 0.001 3.291 0.005
O 1.953 -0.003 1.164
O 1.873 3.243 1.177
O -0.053 3.293 4.366
Ho 0.000 0.000 0.000
```

Calculated density: 5570 kg/m³
Magnetic moment: 6.00 μB/f.u.
Total energy: -77.3 eV per cell